# Nd3MgCo

A geometry-optimized Nd3MgCo structure (PBE, the Alexandria database).

The structure in POSCAR format:
```
Nd3MgCo
1.0
6.145 0.000 0.000
1.669 6.945 0.000
1.660 2.029 6.644
Nd Mg Co
6 2 2
Direct
0.202 0.090 0.091
0.269 0.569 0.159
0.270 0.160 0.570
0.730 0.840 0.430
0.731 0.431 0.841
0.798 0.910 0.909
0.238 0.638 0.637
0.762 0.362 0.363
0.434 0.813 0.813
0.566 0.187 0.187
```

Properties
**Space-group type**: P-1 (2)
**Energy**: -46.42 eV per cell
**Distance to the lowest polymorph of the same formula**: 0.000 eV/f.u.
**Formation enthalpy at 0 K**: -0.04 eV/atom
**Calculated density**: 6.0 Mg/m³